DFT (PBE) results for an optimized crystal structure of CsTaVGe2.

Density of states at the Fermi level in states/eV per cell: 12.61
Volume in Å³ per cell: 152.5
Calculated total energy in eV for the cell shown: -15.797
ΔH_f (0 K) in eV/atom: 3.053

abc: 5.4155 5.4155 5.2003
angles: 90.00 90.00 90.00
Atoms (fractional coordinates):
Cs: 0.0000 0.0000 0.0000
Ta: 0.0000 0.0000 0.5000
V: 0.5000 0.5000 0.5000
Ge: 0.0000 0.5000 0.0000
Ge: 0.5000 0.0000 0.0000